No. 1
{"formula": "LaGa2Ru2", "functional": "PBE", "state": "relaxed", "lattice_angstrom": [[7.561, 0.000, 0.000], [0.000, 7.561, 0.000], [0.000, 0.000, 3.062]], "species": ["La", "La", "Ga", "Ga", "Ga", "Ga", "Ru", "Ru", "Ru", "Ru"], "fractional_positions": [[0.000, 0.000, 0.000], [0.500, 0.500, 0.000], [0.124, 0.376, 0.000], [0.376, 0.876, 0.000], [0.624, 0.124, 0.000], [0.876, 0.624, 0.000], [0.166, 0.666, 0.500], [0.334, 0.166, 0.500], [0.666, 0.834, 0.500], [0.834, 0.334, 0.500]], "final_energy_ev_per_cell": -61.97, "space_group": "P4/mbm (127)", "formation_energy_ev_per_fu": -1.5}



No. 2
{"formula": "Nd2Be3Si4Pt", "functional": "PBE", "state": "relaxed", "lattice_angstrom": [[4.020, 0.000, 0.000], [0.000, 4.020, 0.000], [0.000, 0.000, 9.896]], "species": ["Nd", "Nd", "Be", "Be", "Be", "Si", "Si", "Si", "Si", "Pt"], "fractional_positions": [[0.000, 0.500, 0.244], [0.500, 0.000, 0.756], [0.000, 0.500, 0.872], [0.500, 0.000, 0.128], [0.500, 0.500, 0.500], [0.000, 0.000, 0.000], [0.000, 0.500, 0.638], [0.500, 0.000, 0.362], [0.500, 0.500, 0.000], [0.000, 0.000, 0.500]], "final_energy_ev_per_cell": -54.05, "space_group": "P-4m2 (115)"}



No. 3
{"formula": "Mn24Co5", "functional": "PBE", "state": "relaxed", "lattice_angstrom": [[-4.290, 4.290, 4.290], [4.290, -4.290, 4.290], [4.290, 4.290, -4.290]], "species": ["Mn", "Mn", "Mn", "Mn", "Mn", "Mn", "Mn", "Mn", "Mn", "Mn", "Mn", "Mn", "Mn", "Mn", "Mn", "Mn", "Mn", "Mn", "Mn", "Mn", "Mn", "Mn", "Mn", "Mn", "Co", "Co", "Co", "Co", "Co"], "fractional_positions": [[0.000, 0.194, 0.373], [0.000, 0.373, 0.194], [0.000, 0.391, 0.678], [0.000, 0.678, 0.391], [0.179, 0.806, 0.806], [0.194, 0.000, 0.373], [0.194, 0.373, 0.000], [0.287, 0.609, 0.609], [0.322, 0.322, 0.713], [0.322, 0.713, 0.322], [0.373, 0.000, 0.194], [0.373, 0.194, 0.000], [0.391, 0.000, 0.678], [0.391, 0.678, 0.000], [0.609, 0.287, 0.609], [0.609, 0.609, 0.287], [0.627, 0.627, 0.821], [0.627, 0.821, 0.627], [0.678, 0.000, 0.391], [0.678, 0.391, 0.000], [0.713, 0.322, 0.322], [0.806, 0.179, 0.806], [0.806, 0.806, 0.179], [0.821, 0.627, 0.627], [0.000, 0.000, 0.000], [0.000, 0.000, 0.644], [0.000, 0.644, 0.000], [0.356, 0.356, 0.356], [0.644, 0.000, 0.000]], "final_energy_ev_per_cell": -254.38, "space_group": "I-43m (217)", "formation_energy_ev_per_fu": 1.2}



No. 4
{"formula": "MgCd3AgHg", "functional": "PBE", "state": "relaxed", "lattice_angstrom": [[1.632, -7.727, 0.000], [1.632, 7.727, 0.000], [0.000, 0.000, 10.127]], "species": ["Mg", "Mg", "Cd", "Cd", "Cd", "Cd", "Cd", "Cd", "Ag", "Ag", "Hg", "Hg"], "fractional_positions": [[0.052, 0.948, 0.750], [0.948, 0.052, 0.250], [0.162, 0.838, 0.002], [0.162, 0.838, 0.498], [0.391, 0.609, 0.750], [0.609, 0.391, 0.250], [0.838, 0.162, 0.502], [0.838, 0.162, 0.998], [0.500, 0.500, 0.000], [0.500, 0.500, 0.500], [0.283, 0.717, 0.250], [0.717, 0.283, 0.750]], "final_energy_ev_per_cell": -15.56, "space_group": "Cmcm (63)", "formation_energy_ev_per_fu": -0.3}